No. 1
GaPt3F: optimized geometry, PBE.

Cell: 4.393 4.393 4.393 Å, 90.00 90.00 90.00°
Space group Pm-3m (No. 221)
One atom of each set of equivalent atoms:
Ga: 0.000 0.000 0.000 [1 per cell]
Pt: 0.000 0.500 0.500 [3 per cell]
F: 0.500 0.500 0.500 [1 per cell]

Results
offset from the most stable computed form = 0.00 kcal/mol of atoms

No. 2
Th4Ge2SbTe: optimized geometry, PBE.

Cell: 7.566 4.369 7.731 Å, 90.00 109.02 90.00°
Space group P2/m (No. 10)
One atom of each set of equivalent atoms:
Th: 0.237 0.000 0.220 [2 per cell]
Th: 0.256 0.500 0.776 [2 per cell]
Ge: 0.000 0.500 0.000 [1 per cell]
Ge: 0.500 0.000 0.000 [1 per cell]
Sb: 0.000 0.000 0.500 [1 per cell]
Te: 0.500 0.500 0.500 [1 per cell]

No. 3
PmHo3S4: optimized geometry, PBE.

Cell: 5.551 5.551 5.551 Å, 90.00 90.00 90.00°
Space group Pm-3m (No. 221)
One atom of each set of equivalent atoms:
Pm: 0.000 0.000 0.000 [1 per cell]
Ho: 0.000 0.500 0.500 [3 per cell]
S: 0.000 0.000 0.500 [3 per cell]
S: 0.500 0.500 0.500 [1 per cell]

Results
offset from the most stable computed form = 0.48 kcal/mol of atoms

Number 1: energy -19.79 eV for the cell shown, ΔE_f (raw) 0.645 eV per atom, mass density 13.21 g cm⁻³. Number 2: energy -53.76 eV for the cell shown, ΔE_f (raw) -0.948 eV per atom, mass density 9.09 g cm⁻³. Number 3: energy -50.70 eV for the cell shown, ΔE_f (raw) -1.963 eV per atom, mass density 7.46 g cm⁻³.